Version w
# Cd3InP

An optimized crystal structure of Cd3InP (PBE-GGA, Alexandria).

Calculated values
- volume (Å³/atom) = 32.50
- M_tot (μB per cell) = 2.0

Cell lengths 5.4571, 5.4571, 5.4571 Å; angles 90.00, 90.00, 90.00 degrees
Space group Pm-3m (No. 221)
Inequivalent atoms, fractional coordinates:
1 Cd 0.0000 0.0000 0.5000
2 In 0.0000 0.0000 0.0000
3 P 0.5000 0.5000 0.5000



Version x
# Cd3InP

An optimized crystal structure of Cd3InP (PBE-GGA, Alexandria).

Calculated values
- volume (Å³/atom) = 27.72
- M_tot (μB per cell) = 0.0

Cell lengths 5.1752, 5.1752, 5.1752 Å; angles 90.00, 90.00, 90.00 degrees
Space group Pm-3m (No. 221)
Inequivalent atoms, fractional coordinates:
1 Cd 0.0000 0.0000 0.5000
2 In 0.5000 0.5000 0.5000
3 P 0.0000 0.0000 0.0000



version x is favored, and the nearest alternative lies 0.484 eV/atom above it.